NdGaAg2Se4 | GGA-PBE | optimized geometry

Cell lengths 7.8321, 8.1186, 8.1494 Å; angles 104.71, 95.07, 118.76 degrees
Fractional coordinates of all 16 atoms:
Nd (0.0000, 0.0000, 0.0000)
Nd (0.0467, 0.0051, 0.5189)
Ga (0.5132, 0.5393, 0.0256)
Ga (0.5357, 0.9436, 0.2014)
Ag (0.1234, 0.5299, 0.7639)
Ag (0.6161, 0.2832, 0.6372)
Ag (0.6231, 0.5102, 0.4015)
Ag (0.9983, 0.4216, 0.0923)
Se (0.3596, 0.1202, 0.2987)
Se (0.3682, 0.1932, 0.8538)
Se (0.3880, 0.6373, 0.2830)
Se (0.5120, 0.7793, 0.8905)
Se (0.8672, 0.1720, 0.7609)
Se (0.8684, 0.6726, 0.1615)
Se (0.8944, 0.1899, 0.3102)
Se (0.9174, 0.6915, 0.6770)

Values from the calculation:
Raw formation energy   -0.77 eV per atom
Symmetry   No. 1
Raw total energy   -4.20 eV per atom